*one*
A plane-wave DFT calculation with PBE was carried out for a relaxed TaGa2Br crystal.

As for the theoretical density: 8235 kg/m3.

The space group is Fm-3m (No. 225) and the conventional cell measures 6.8602, 6.8602 and 6.8602 Å, with angles of 90.00, 90.00 and 90.00 degrees. The inequivalent atoms are Ta at (0.0000, 0.0000, 0.0000), Ga at (0.2500, 0.2500, 0.2500) and Br at (0.0000, 0.0000, 0.5000).



*two*
A plane-wave DFT calculation with PBE was carried out for a relaxed TaGa2Br crystal.

As for the theoretical density: 7061 kg/m3.

The space group is I-42d (No. 122) and the conventional cell measures 8.6179, 8.6179 and 5.0700 Å, with angles of 90.00, 90.00 and 90.00 degrees. The inequivalent atoms are Ta at (0.0000, 0.0000, 0.0000), Ga at (0.1743, 0.2500, 0.1250) and Br at (0.0000, 0.0000, 0.5000).



Preferred: *two*; penalty for the next structure: 0.200 eV/atom.



*one*
A plane-wave DFT calculation with PBE was carried out for a relaxed GaTcBr3 crystal.

As for the theoretical density: 4543 kg/m3.

The space group is Pm-3m (No. 221) and the conventional cell measures 5.3005, 5.3005 and 5.3005 Å, with angles of 90.00, 90.00 and 90.00 degrees. The inequivalent atoms are Ga at (0.0000, 0.0000, 0.0000), Tc at (0.5000, 0.5000, 0.5000) and Br at (0.0000, 0.0000, 0.5000).



*two*
A plane-wave DFT calculation with PBE was carried out for a relaxed GaTcBr3 crystal.

As for the theoretical density: 4716 kg/m3.

The space group is Pm-3m (No. 221) and the conventional cell measures 5.2348, 5.2348 and 5.2348 Å, with angles of 90.00, 90.00 and 90.00 degrees. The inequivalent atoms are Ga at (0.0000, 0.0000, 0.0000), Tc at (0.5000, 0.5000, 0.5000) and Br at (0.0000, 0.5000, 0.5000).



Preferred: *two*; penalty for the next structure: 0.533 eV/atom.



*one*
A plane-wave DFT calculation with PBE was carried out for a relaxed Ga2Te2Br crystal.

As for the theoretical density: 6259 kg/m3.

The space group is P4/mbm (No. 127) and the conventional cell measures 8.2959, 8.2959 and 3.6586 Å, with angles of 90.00, 90.00 and 90.00 degrees. The inequivalent atoms are Ga at (0.1572, 0.3428, 0.0000), Te at (0.1465, 0.6465, 0.5000) and Br at (0.0000, 0.0000, 0.0000).



*two*
A plane-wave DFT calculation with PBE was carried out for a relaxed Ga2Te2Br crystal.

As for the theoretical density: 4078 kg/m3.

The space group is I4/mmm (No. 139) and the conventional cell measures 5.4665, 5.4665 and 12.9330 Å, with angles of 90.00, 90.00 and 90.00 degrees. The inequivalent atoms are Ga at (0.0000, 0.0000, 0.1978), Te at (0.0000, 0.5000, 0.2500) and Br at (0.0000, 0.0000, 0.0000).



Preferred: *two*; penalty for the next structure: 0.188 eV/atom.



*one*
A plane-wave DFT calculation with PBE was carried out for a relaxed Ga2Te2Br crystal.

As for the theoretical density: 5381 kg/m3.

The space group is I4/mmm (No. 139) and the conventional cell measures 4.6795, 4.6795 and 13.3760 Å, with angles of 90.00, 90.00 and 90.00 degrees. The inequivalent atoms are Ga at (0.0000, 0.5000, 0.2500), Te at (0.0000, 0.0000, 0.1368) and Br at (0.0000, 0.0000, 0.5000).



*two*
A plane-wave DFT calculation with PBE was carried out for a relaxed Ga2Te2Br crystal.

As for the theoretical density: 5177 kg/m3.

The space group is I4/mmm (No. 139) and the conventional cell measures 4.3738, 4.3738 and 15.9118 Å, with angles of 90.00, 90.00 and 90.00 degrees. The inequivalent atoms are Ga at (0.0000, 0.0000, 0.0912), Te at (0.0000, 0.5000, 0.2500) and Br at (0.0000, 0.0000, 0.5000).



Preferred: *one*; penalty for the next structure: 0.102 eV/atom.



*one*
A plane-wave DFT calculation with PBE was carried out for a relaxed Ga2TeBr crystal.

As for the theoretical density: 5030 kg/m3.

The space group is R3m (No. 160, hexagonal axes) and the conventional cell measures 4.1713, 4.1713 and 22.8050 Å, with angles of 90.00, 90.00 and 120.00 degrees. The inequivalent atoms are Ga at (0.0000, 0.0000, 0.0000), Ga at (0.0000, 0.0000, 0.1784), Te at (0.0000, 0.0000, 0.6003) and Br at (0.0000, 0.0000, 0.4232).



*two*
A plane-wave DFT calculation with PBE was carried out for a relaxed Ga2TeBr crystal.

As for the theoretical density: 5583 kg/m3.

The space group is Fm-3m (No. 225) and the conventional cell measures 7.4457, 7.4457 and 7.4457 Å, with angles of 90.00, 90.00 and 90.00 degrees. The inequivalent atoms are Ga at (0.2500, 0.2500, 0.2500), Te at (0.0000, 0.0000, 0.0000) and Br at (0.0000, 0.0000, 0.5000).



*three*
A plane-wave DFT calculation with PBE was carried out for a relaxed Ga2TeBr crystal.

As for the theoretical density: 4579 kg/m3.

The space group is I-42d (No. 122) and the conventional cell measures 7.6454, 7.6454 and 8.6109 Å, with angles of 90.00, 90.00 and 90.00 degrees. The inequivalent atoms are Ga at (0.2428, 0.2500, 0.1250), Te at (0.0000, 0.0000, 0.0000) and Br at (0.0000, 0.0000, 0.5000).



Preferred: *one*; penalty for the next structure: 0.078 eV/atom.